First-principles (PBE with a Hubbard U) data for a geometry-optimized NaVCO4 structure, as listed in the Alexandria database.

Lattice parameters (Å, degrees): 5.7141 5.7141 5.7141 124.68 117.10 88.59
Last column: nearest neighbours and their distance in Å.
Positions (direct):
Na 0.5000 0.0000 0.0000  6 O 2.20-2.27
Na 0.5000 0.5000 0.5000  6 O 2.20-2.27
V 0.0000 0.0000 0.0000  6 O 2.04-2.23
V 0.5000 0.0000 0.5000  6 O 2.04-2.23
C 0.0954 0.3454 0.7500  2 O 1.30
C 0.9046 0.6546 0.2500  2 O 1.30
O 0.1719 0.7304 0.4415  1 C 1.30
O 0.2111 0.2696 0.9415  1 C 1.30
O 0.2317 0.2437 0.5120  1 C 1.68
O 0.2317 0.7197 0.9880  1 C 1.68
O 0.7683 0.2803 0.0120  1 C 1.68
O 0.7683 0.7563 0.4880  1 C 1.68
O 0.7889 0.7304 0.0585  1 C 1.30
O 0.8281 0.2696 0.5585  1 C 1.30

Properties
Crystal system: orthorhombic
E: -0.24654 hartree per atom
V: 9.2 Å³/atom